Below is an optimized crystal structure of KEuMnBiO6, with properties calculated at the GGA+U level.

Computed properties:
- DFT total energy: -6.78 eV per atom
- Magnetic moment: 10.0 μB per cell

Geometry as extended XYZ:
```
10
Lattice="-5.135 -2.562 0.331 -3.131 0.447 4.800 -4.796 3.168 0.019" Properties=species:S:1:pos:R:3 pbc="T T T"
O -5.699 1.794 1.349
O -4.900 0.489 3.642
K -3.266 0.264 1.288
Bi 0.000 0.000 0.000
Mn -6.531 0.527 2.575
O -7.201 2.008 3.651
O -7.363 -0.740 3.801
O -8.162 0.565 1.508
Eu -9.797 0.791 3.863
O -5.862 -0.954 1.499
```